Entry 1:
Entry from the Alexandria database: a geometry-optimized Nd2ErSi3Pt4 structure (PBE).

The structure in CIF format:
```
data_Nd2ErSi3Pt4
_chemical_formula_sum 'Nd2 Er1 Si3 Pt4'
_cell_length_a 4.274
_cell_length_b 4.274
_cell_length_c 10.791
_cell_angle_alpha 90.00
_cell_angle_beta 90.00
_cell_angle_gamma 90.00
_symmetry_space_group_name_H-M 'P -4 m 2'
_symmetry_Int_Tables_number 115
loop_
_symmetry_equiv_pos_as_xyz
'x,y,z'
'y,-x,-z'
'-x,-y,z'
'-y,x,-z'
'-x,y,z'
'-y,-x,-z'
'x,-y,z'
'y,x,-z'
loop_
_atom_site_label
_atom_site_fract_x
_atom_site_fract_y
_atom_site_fract_z
Nd1 0.000 0.500 0.228
Er1 0.000 0.000 0.500
Si1 0.000 0.500 0.881
Si2 0.500 0.500 0.500
Pt1 0.000 0.000 0.000
Pt2 0.000 0.500 0.658
Pt3 0.500 0.500 0.000
```

Calculated values
Uncorrected energy in eV/atom: -6.5216
Magnetization in μB per formula unit: 0.00
Calculated density in Mg/m³: 11.12


Entry 2:
Entry from the Alexandria database: a geometry-optimized CsKPb2Cl6 structure (PBE).

The structure in CIF format:
```
data_CsKPb2Cl6
_chemical_formula_sum 'Cs3 K3 Pb6 Cl18'
_cell_length_a 7.9234
_cell_length_b 7.9234
_cell_length_c 19.7063
_cell_angle_alpha 90.00
_cell_angle_beta 90.00
_cell_angle_gamma 120.00
_symmetry_space_group_name_H-M 'R 3'
_symmetry_Int_Tables_number 146
_symmetry_space_group_name_Hall 'R 3'
loop_
_atom_site_label
_atom_site_fract_x
_atom_site_fract_y
_atom_site_fract_z
Cs1 0.0000 0.0000 0.0000
K1 0.0000 0.0000 0.4779
Pb1 0.0000 0.0000 0.2615
Pb2 0.0000 0.0000 0.7664
Cl1 0.0099 0.3999 0.5190
Cl2 0.0168 0.5755 0.0220
```

Calculated values
Uncorrected energy in eV/atom: -3.5530
Magnetization in μB per formula unit: 0.00
Calculated density in Mg/m³: 3.72